12
Lattice="7.8756 -2.8307 0.0000 7.8756 2.8307 0.0000 -4.1390 0.0000 8.0280" Properties=species:S:1:pos:R:3 comment="Dy4Tm5Sc3 | Alexandria via LeMat-Bulk | PBE-GGA | relaxed" e_tot_ev_per_cell=-57.1 pbc="T T T"
Dy -0.5240 0.0000 3.5566
Dy -0.2471 0.0000 7.0687
Dy 11.8593 0.0000 0.9593
Dy 12.1362 0.0000 4.4714
Tm 0.0000 0.0000 0.0000
Tm 2.5656 0.0000 5.0018
Tm 5.5412 0.0000 2.3189
Tm 6.0711 0.0000 5.7092
Tm 9.0466 0.0000 3.0262
Sc 2.4155 0.0000 1.9071
Sc 7.8756 0.0000 0.0000
Sc 9.1967 0.0000 6.1209